[1]
Entry from Alexandria via LeMat-Bulk: a relaxed Li2CdInMo crystal (GGA-PBE).

Computed properties:
Energy relative to the elements ... 1.04 eV/atom
V ... 27.9 Å³/atom
Density ... 4.016 g cm⁻³
D(E_F) ... 4.4 states/eV per cell
Calculated total energy ... -2.62 eV/atom
Spin magnetization ... 3.68 Bohr magnetons per cell

Lattice parameters (Å, degrees): 5.0731 5.4147 5.0731 90.00 90.00 90.00
Positions (direct):
Mo 0.0000 0.0000 0.0000
Cd 0.0000 0.5000 0.0000
Li 0.0000 0.0000 0.5000
Li 0.5000 0.0000 0.0000
In 0.5000 0.5000 0.5000

[2]
Entry from Alexandria via LeMat-Bulk: a relaxed Na2LiCd2In5 crystal (GGA-PBE).

Computed properties:
Energy relative to the elements ... -0.09 eV/atom
V ... 25.9 Å³/atom
Density ... 5.462 g cm⁻³
D(E_F) ... 7.1 states/eV per cell
Calculated total energy ... -2.10 eV/atom
Spin magnetization ... 0.00 Bohr magnetons per cell

Lattice parameters (Å, degrees): 4.5356 10.6864 10.6864 90.00 90.00 90.00
Positions (direct):
Cd 0.0000 0.3712 0.1288
Cd 0.0000 0.1288 0.6288
Cd 0.0000 0.8712 0.3712
Cd 0.0000 0.6288 0.8712
In 0.5000 0.5000 0.0000
In 0.5000 0.6958 0.4416
In 0.5000 0.8042 0.9416
In 0.5000 0.3042 0.5584
In 0.5000 0.4416 0.3042
In 0.5000 0.5584 0.6958
In 0.5000 0.1958 0.0584
In 0.5000 0.0584 0.8042
In 0.5000 0.9416 0.1958
In 0.5000 0.0000 0.5000
Li 0.0000 0.0000 0.0000
Li 0.0000 0.5000 0.5000
Na 0.0000 0.1721 0.3279
Na 0.0000 0.6721 0.1721
Na 0.0000 0.3279 0.8279
Na 0.0000 0.8279 0.6721

[3]
Entry from Alexandria via LeMat-Bulk: a relaxed NaLiCdIn2 crystal (GGA-PBE).

Computed properties:
Energy relative to the elements ... -0.10 eV/atom
V ... 26.1 Å³/atom
Density ... 4.738 g cm⁻³
D(E_F) ... 2.8 states/eV per cell
Calculated total energy ... -2.03 eV/atom
Spin magnetization ... 0.00 Bohr magnetons per cell

Lattice parameters (Å, degrees): 4.9512 6.6247 8.5703 90.00 90.00 111.94
Positions (direct):
In 0.2681 0.5363 0.0835
In 0.7319 0.4637 0.9165
In 0.7319 0.4637 0.5835
In 0.2681 0.5363 0.4165
Na 0.0470 0.0940 0.7500
Na 0.9530 0.9060 0.2500
Li 0.6692 0.3383 0.2500
Li 0.3308 0.6617 0.7500
Cd 0.5000 0.0000 0.5000
Cd 0.5000 0.0000 0.0000

[4]
Entry from Alexandria via LeMat-Bulk: a relaxed NaLi2Cd2In2 crystal (GGA-PBE).

Computed properties:
Energy relative to the elements ... -0.16 eV/atom
V ... 22.0 Å³/atom
Density ... 5.288 g cm⁻³
D(E_F) ... 2.5 states/eV per cell
Calculated total energy ... -1.93 eV/atom
Spin magnetization ... 0.00 Bohr magnetons per cell

Lattice parameters (Å, degrees): 4.9766 4.9766 7.7465 71.26 71.26 60.00
Positions (direct):
Cd 0.4298 0.4298 0.7107
Cd 0.5702 0.5702 0.2893
Na 0.0000 0.0000 0.0000
Li 0.8600 0.8600 0.4201
Li 0.1400 0.1400 0.5799
In 0.7288 0.7288 0.8136
In 0.2712 0.2712 0.1864

[5]
Entry from Alexandria via LeMat-Bulk: a relaxed NaLiCdIn crystal (GGA-PBE).

Computed properties:
Energy relative to the elements ... -0.19 eV/atom
V ... 22.3 Å³/atom
Density ... 4.784 g cm⁻³
D(E_F) ... 2.0 states/eV per cell
Calculated total energy ... -1.91 eV/atom
Spin magnetization ... 0.00 Bohr magnetons per cell

Lattice parameters (Å, degrees): 5.0163 5.0163 5.0163 60.00 60.00 60.00
Positions (direct):
Cd 0.2500 0.2500 0.2500
In 0.0000 0.0000 0.0000
Na 0.5000 0.5000 0.5000
Li 0.7500 0.7500 0.7500

[6]
Entry from Alexandria via LeMat-Bulk: a relaxed NaLiCd2In2 crystal (GGA-PBE).

Computed properties:
Energy relative to the elements ... -0.14 eV/atom
V ... 24.3 Å³/atom
Density ... 5.513 g cm⁻³
D(E_F) ... 3.0 states/eV per cell
Calculated total energy ... -1.89 eV/atom
Spin magnetization ... 0.00 Bohr magnetons per cell

Lattice parameters (Å, degrees): 4.9833 4.9833 6.7835 90.00 90.00 120.00
Positions (direct):
Na 0.0000 0.0000 0.0000
In 0.3333 0.6667 0.7382
In 0.6667 0.3333 0.2618
Cd 0.3333 0.6667 0.2646
Cd 0.6667 0.3333 0.7354
Li 0.0000 0.0000 0.5000